[1]
DFT (PBE-GGA) results for an optimized crystal structure of Rb3CdSb2O6.

```
Rb3CdSb2O6
1.0
6.290 0.000 0.000
-3.145 5.447 0.000
0.000 0.000 7.507
Rb Cd Sb O
3 1 2 6
direct
0.333 0.667 0.657
0.667 0.333 0.343
0.000 0.000 0.000
0.000 0.000 0.500
0.667 0.333 0.798
0.333 0.667 0.202
0.658 0.829 0.309
0.171 0.342 0.309
0.171 0.829 0.309
0.829 0.658 0.691
0.342 0.171 0.691
0.829 0.171 0.691
```

Values from the calculation:
Its crystal system is trigonal.


[2]
DFT (PBE-GGA) results for an optimized crystal structure of AcPaCu2O8.

```
AcPaCu2O8
1.0
6.157 0.120 0.000
-2.623 5.571 0.000
-1.767 -2.846 5.167
Ac Pa Cu O
1 1 2 8
direct
0.250 0.750 0.500
0.000 0.000 0.000
0.750 0.250 0.500
0.500 0.500 0.000
0.371 0.067 0.304
0.295 0.459 0.164
0.295 0.131 0.836
0.763 0.067 0.696
0.869 0.705 0.164
0.933 0.237 0.304
0.933 0.629 0.696
0.541 0.705 0.836
```

Values from the calculation:
Its crystal system is tetragonal.


Formation energy (no corrections), record by record: -1.32 -1.71 eV/atom